A plane-wave DFT calculation with GGA-PBE was carried out for a relaxed structure of Dy5Ho2Sc3.

Values from the calculation:
As for the crystal system: monoclinic. The calculation puts the energy relative to the elements at 196 meV/atom. The total energy is -4.9203 eV per atom.

a = 9.344 Å, b = 9.344 Å, c = 9.114 Å
α = 108.69°, β = 108.69°, γ = 111.82°
Positions (direct):
Dy 0.017 0.983 0.750
Dy 0.113 0.400 0.767
Dy 0.283 0.717 0.250
Dy 0.400 0.113 0.267
Dy 0.481 0.519 0.250
Dy 0.519 0.481 0.750
Dy 0.600 0.887 0.733
Dy 0.717 0.283 0.750
Dy 0.887 0.600 0.233
Dy 0.983 0.017 0.250
Ho 0.210 0.479 0.452
Ho 0.479 0.210 0.952
Ho 0.521 0.790 0.048
Ho 0.790 0.521 0.548
Sc 0.006 0.277 0.048
Sc 0.217 0.783 0.750
Sc 0.277 0.006 0.548
Sc 0.723 0.994 0.452
Sc 0.783 0.217 0.250
Sc 0.994 0.723 0.952